Entry 1:
The following is a DFT calculation (GGA-PBE) of an optimized crystal structure of DyTiPd2.

Cell: 5.2814 5.2814 5.2814 Å, 49.96 49.96 49.96°
Last column: nearest neighbours and their distance in Å.
Atoms (fractional coordinates):
Dy (0.0000, 0.0000, 0.0000)  8 Pd 2.97-3.06
Ti (0.5000, 0.5000, 0.5000)  6 Pd 2.66
Pd (0.2144, 0.2144, 0.2144)  3 Ti 2.66, 3 Pd 2.89, 1 Dy 2.97
Pd (0.7856, 0.7856, 0.7856)  3 Ti 2.66, 3 Pd 2.89, 1 Dy 2.97

Computed properties:
ΔE_f   -0.63 eV/atom
Magnetization   0.001 μB/f.u.

---

Entry 2:
The following is a DFT calculation (GGA-PBE) of an optimized crystal structure of ZnGaCo2H.

Cell: 3.7408 3.7408 3.5906 Å, 90.00 90.00 90.00°
Last column: nearest neighbours and their distance in Å.
Atoms (fractional coordinates):
Zn (0.0000, 0.0000, 0.0000)  2 H 1.80
Ga (0.5000, 0.5000, 0.0000)  8 Co 2.59, 4 Zn 2.65
Co (0.0000, 0.5000, 0.5000)  2 H 1.87
Co (0.5000, 0.0000, 0.5000)  2 H 1.87
H (0.0000, 0.0000, 0.5000)  2 Zn 1.80, 4 Co 1.87

Computed properties:
Total DFT energy (no corrections)   -4.40 eV/atom
Magnetization   0.002 μB/f.u.

---

Entry 3:
The following is a DFT calculation (GGA-PBE) of an optimized crystal structure of TbLuThCd.

Cell: 5.4599 5.4599 5.4599 Å, 60.00 60.00 60.00°
Last column: nearest neighbours and their distance in Å.
Atoms (fractional coordinates):
Tb (0.0000, 0.0000, 0.0000)  4 Lu 3.34, 4 Cd 3.34
Lu (0.7500, 0.7500, 0.7500)  4 Tb 3.34, 4 Th 3.34
Th (0.5000, 0.5000, 0.5000)  4 Cd 3.34, 4 Lu 3.34
Cd (0.2500, 0.2500, 0.2500)  4 Tb 3.34, 4 Th 3.34

Computed properties:
ΔE_f   0.03 eV/atom
Magnetization   0.002 μB/f.u.

---

Entry 4:
The following is a DFT calculation (GGA-PBE) of an optimized crystal structure of MgMn3B.

Cell: 4.5906 4.5906 4.5906 Å, 90.00 90.00 90.00°
Last column: nearest neighbours and their distance in Å.
Atoms (fractional coordinates):
Mg (0.0000, 0.0000, 0.0000)  6 Mn 2.30
Mn (0.0000, 0.0000, 0.5000)  2 Mg 2.30
Mn (0.0000, 0.5000, 0.0000)  2 Mg 2.30
Mn (0.5000, 0.0000, 0.0000)  2 Mg 2.30
B (0.5000, 0.5000, 0.5000)  12 Mn 3.25

Computed properties:
ΔE_f   2.15 eV/atom
Magnetization   10.758 μB/f.u.

---

Entry 5:
The following is a DFT calculation (GGA-PBE) of an optimized crystal structure of ThPbBr2.

Cell: 11.1705 11.1705 11.1705 Å, 18.83 18.83 18.83°
Last column: nearest neighbours and their distance in Å.
Atoms (fractional coordinates):
Th (0.0000, 0.0000, 0.0000)  6 Br 3.04
Pb (0.5000, 0.5000, 0.5000)  2 Br 3.29, 6 Pb 3.66
Br (0.3999, 0.3999, 0.3999)  3 Th 3.04, 1 Pb 3.29
Br (0.6001, 0.6001, 0.6001)  3 Th 3.04, 1 Pb 3.29

Computed properties:
Formation energy from raw total energies   -0.9400 eV per atom
Magnetization   0.000 μB/f.u.

---

Entry 6:
The following is a DFT calculation (GGA-PBE) of an optimized crystal structure of LaAs2Rh.

Cell: 4.4929 4.4929 4.1460 Å, 90.00 90.00 99.50°
Last column: nearest neighbours and their distance in Å.
Atoms (fractional coordinates):
La (0.0000, 0.0000, 0.0000)  2 Rh 2.90, 8 As 3.06
As (0.0000, 0.5000, 0.5000)  2 As 2.90, 4 Rh 3.06, 4 La 3.06
As (0.5000, 0.0000, 0.5000)  2 As 2.90, 4 Rh 3.06, 4 La 3.06
Rh (0.5000, 0.5000, 0.0000)  2 La 2.90, 8 As 3.06

Computed properties:
ΔE_f   -0.54 eV/atom
Magnetization   0.000 μB/f.u.

---

Entry 7:
The following is a DFT calculation (GGA-PBE) of an optimized crystal structure of PmTlCu2.

Cell: 4.7315 4.7315 3.7473 Å, 90.00 90.00 90.00°
Last column: nearest neighbours and their distance in Å.
Atoms (fractional coordinates):
Pm (0.0000, 0.0000, 0.0000)  8 Cu 3.02, 4 Tl 3.35
Tl (0.5000, 0.5000, 0.0000)  8 Cu 3.02, 4 Pm 3.35
Cu (0.0000, 0.5000, 0.5000)  4 Tl 3.02, 4 Pm 3.02, 4 Cu 3.35
Cu (0.5000, 0.0000, 0.5000)  4 Tl 3.02, 4 Pm 3.02, 4 Cu 3.35

Computed properties:
ΔE_f   0.01 eV/atom
Magnetization   0.000 μB/f.u.

---

Entry 8:
The following is a DFT calculation (GGA-PBE) of an optimized crystal structure of Ho3CuRh2.

Cell: 4.8493 4.8493 11.8764 Å, 90.00 90.00 120.00°
Last column: nearest neighbours and their distance in Å.
Atoms (fractional coordinates):
Ho (0.0000, 0.0000, 0.2473)  5 Rh 2.94-3.00, 3 Cu 2.97
Ho (0.0000, 0.0000, 0.7527)  5 Rh 2.94-3.00, 3 Cu 2.97
Ho (0.3333, 0.6667, 0.4164)  4 Rh 2.96-2.97, 4 Cu 2.98-2.99
Ho (0.3333, 0.6667, 0.9186)  7 Rh 2.96-2.98, 1 Cu 2.97
Ho (0.6667, 0.3333, 0.0814)  7 Rh 2.96-2.98, 1 Cu 2.97
Ho (0.6667, 0.3333, 0.5836)  4 Rh 2.96-2.97, 4 Cu 2.98-2.99
Cu (0.3333, 0.6667, 0.6683)  8 Ho 2.97-2.99
Cu (0.6667, 0.3333, 0.3317)  8 Ho 2.97-2.99
Rh (0.0000, 0.0000, 0.0000)  8 Ho 2.94-2.96
Rh (0.0000, 0.0000, 0.5000)  8 Ho 2.97-3.00
Rh (0.3333, 0.6667, 0.1676)  8 Ho 2.96-2.98
Rh (0.6667, 0.3333, 0.8324)  8 Ho 2.96-2.98

Computed properties:
ΔE_f   -0.70 eV/atom
Magnetization   0.000 μB/f.u.

---

Entry 9:
The following is a DFT calculation (GGA-PBE) of an optimized crystal structure of MgTaNbHg2.

Cell: 5.3929 5.3929 4.8290 Å, 90.00 90.00 90.00°
Last column: nearest neighbours and their distance in Å.
Atoms (fractional coordinates):
Mg (0.0000, 0.0000, 0.0000)  8 Hg 3.62, 4 Nb 3.81
Ta (0.5000, 0.5000, 0.5000)  2 Nb 2.41, 4 Hg 2.70
Nb (0.5000, 0.5000, 0.0000)  2 Ta 2.41
Hg (0.0000, 0.5000, 0.5000)  2 Ta 2.70
Hg (0.5000, 0.0000, 0.5000)  2 Ta 2.70

Computed properties:
ΔE_f   1.04 eV/atom
Magnetization   0.000 μB/f.u.

---

Entry 10:
The following is a DFT calculation (GGA-PBE) of an optimized crystal structure of PrSm6YSc2.

Cell: 8.7663 8.7663 9.5851 Å, 94.20 94.20 117.65°
Last column: nearest neighbours and their distance in Å.
Atoms (fractional coordinates):
Pr (0.0959, 0.9041, 0.7500)  6 Sm 3.39-3.54, 2 Sc 3.57
Pr (0.9041, 0.0959, 0.2500)  6 Sm 3.39-3.54, 2 Sc 3.57
Sm (0.0023, 0.7986, 0.3798)  3 Sc 3.23-3.39, 3 Sm 3.25-3.38, 2 Pr 3.39-3.54
Sm (0.0630, 0.5216, 0.1795)  3 Sm 3.25-3.60, 2 Sc 3.43-3.54, 1 Pr 3.46, 1 Y 3.56
Sm (0.2014, 0.9977, 0.1202)  3 Sc 3.23-3.39, 3 Sm 3.25-3.38, 2 Pr 3.39-3.54
Sm (0.2597, 0.6101, 0.5531)  1 Sc 3.38, 5 Sm 3.38-3.73, 2 Y 3.60-3.75
Sm (0.3899, 0.7403, 0.9469)  1 Sc 3.38, 5 Sm 3.38-3.73, 2 Y 3.60-3.75
Sm (0.4784, 0.9370, 0.3205)  3 Sm 3.25-3.60, 2 Sc 3.43-3.54, 1 Pr 3.46, 1 Y 3.56
Sm (0.5216, 0.0630, 0.6795)  3 Sm 3.25-3.60, 2 Sc 3.43-3.54, 1 Pr 3.46, 1 Y 3.56
Sm (0.6101, 0.2597, 0.0531)  1 Sc 3.38, 5 Sm 3.38-3.73, 2 Y 3.60-3.75
Sm (0.7403, 0.3899, 0.4469)  1 Sc 3.38, 5 Sm 3.38-3.73, 2 Y 3.60-3.75
Sm (0.7986, 0.0023, 0.8798)  3 Sc 3.23-3.39, 3 Sm 3.25-3.38, 2 Pr 3.39-3.54
Sm (0.9370, 0.4784, 0.8205)  3 Sm 3.25-3.60, 2 Sc 3.43-3.54, 1 Pr 3.46, 1 Y 3.56
Sm (0.9977, 0.2014, 0.6202)  3 Sc 3.23-3.39, 3 Sm 3.25-3.38, 2 Pr 3.39-3.54
Y (0.4712, 0.5288, 0.2500)  4 Sc 3.37, 6 Sm 3.56-3.75
Y (0.5288, 0.4712, 0.7500)  4 Sc 3.37, 6 Sm 3.56-3.75
Sc (0.2044, 0.3060, 0.9528)  6 Sm 3.23-3.54, 2 Y 3.37, 1 Pr 3.57
Sc (0.3060, 0.2044, 0.4528)  6 Sm 3.23-3.54, 2 Y 3.37, 1 Pr 3.57
Sc (0.6940, 0.7956, 0.5472)  6 Sm 3.23-3.54, 2 Y 3.37, 1 Pr 3.57
Sc (0.7956, 0.6940, 0.0472)  6 Sm 3.23-3.54, 2 Y 3.37, 1 Pr 3.57

Computed properties:
ΔE_f   0.12 eV/atom
Magnetization   0.000 μB/f.u.